Entry 1:
# PBE Zr2TlCd, relaxed
# D(E_F): 0.83 states/eV per atom
# Formation enthalpy at 0 K: 0.25 eV/atom
# Total DFT energy (no corrections): -4.84 eV/atom
data_Zr2TlCd
_cell_length_a 8.0466
_cell_length_b 8.0466
_cell_length_c 5.9757
_cell_angle_alpha 90.00
_cell_angle_beta 90.00
_cell_angle_gamma 90.00
_symmetry_space_group_name_H-M 'I -4 2 d'
_symmetry_Int_Tables_number 122
_symmetry_space_group_name_Hall 'I -4 2bw'
loop_
_atom_site_label
_atom_site_type_symbol
_atom_site_fract_x
_atom_site_fract_y
_atom_site_fract_z
_atom_site_occupancy
Zr1 Zr 0.2493 0.7500 0.1250 1
Tl1 Tl 0.0000 0.0000 0.5000 1
Cd1 Cd 0.0000 0.0000 0.0000 1

***

Entry 2:
# PBE KHIrCl, relaxed
# D(E_F): 0.37 states/eV per atom
# Total DFT energy (no corrections): -3.76 eV/atom
data_KHIrCl
_cell_length_a 3.0855
_cell_length_b 3.5239
_cell_length_c 6.8135
_cell_angle_alpha 90.00
_cell_angle_beta 102.87
_cell_angle_gamma 90.00
_symmetry_space_group_name_H-M 'P 1 m 1'
_symmetry_Int_Tables_number 6
_symmetry_space_group_name_Hall 'P -2y'
loop_
_atom_site_label
_atom_site_type_symbol
_atom_site_fract_x
_atom_site_fract_y
_atom_site_fract_z
_atom_site_occupancy
K1 K 0.0000 0.0000 0.0000 1
H1 H 0.8630 0.5000 0.7391 1
Ir1 Ir 0.2941 0.5000 0.5979 1
Cl1 Cl 0.6520 0.5000 0.3088 1

***

Entry 3:
# PBE NdHoEr, relaxed
# D(E_F): 1.61 states/eV per atom
# Formation enthalpy at 0 K: 0.04 eV/atom
# Total DFT energy (no corrections): -4.60 eV/atom
data_NdHoEr
_cell_length_a 3.5316
_cell_length_b 20.2808
_cell_length_c 5.4150
_cell_angle_alpha 90.00
_cell_angle_beta 90.00
_cell_angle_gamma 90.00
_symmetry_space_group_name_H-M 'C m c m'
_symmetry_Int_Tables_number 63
_symmetry_space_group_name_Hall '-C 2c 2'
loop_
_atom_site_label
_atom_site_type_symbol
_atom_site_fract_x
_atom_site_fract_y
_atom_site_fract_z
_atom_site_occupancy
Nd1 Nd 0.0000 0.2059 0.2500 1
Ho1 Ho 0.0000 0.3868 0.2500 1
Er1 Er 0.0000 0.0406 0.2500 1

***

Entry 4:
# PBE TaReB2Ir, relaxed
# D(E_F): 0.62 states/eV per atom
# Formation enthalpy at 0 K: 1.24 eV/atom
# Total DFT energy (no corrections): -8.07 eV/atom
data_TaReB2Ir
_cell_length_a 3.9991
_cell_length_b 3.9991
_cell_length_c 4.9308
_cell_angle_alpha 90.00
_cell_angle_beta 90.00
_cell_angle_gamma 90.00
_symmetry_space_group_name_H-M 'P 4/m m m'
_symmetry_Int_Tables_number 123
_symmetry_space_group_name_Hall '-P 4 2'
loop_
_atom_site_label
_atom_site_type_symbol
_atom_site_fract_x
_atom_site_fract_y
_atom_site_fract_z
_atom_site_occupancy
Ta1 Ta 0.0000 0.0000 0.0000 1
Re1 Re 0.5000 0.5000 0.5000 1
B1 B 0.0000 0.5000 0.5000 1
Ir1 Ir 0.5000 0.5000 0.0000 1

***

Entry 5:
# PBE CoRe2Sn, relaxed
# D(E_F): 0.93 states/eV per atom
# Formation enthalpy at 0 K: 0.73 eV/atom
# Total DFT energy (no corrections): -8.27 eV/atom
data_CoRe2Sn
_cell_length_a 3.7751
_cell_length_b 3.7751
_cell_length_c 18.9283
_cell_angle_alpha 90.00
_cell_angle_beta 90.00
_cell_angle_gamma 90.00
_symmetry_space_group_name_H-M 'I -4 2 d'
_symmetry_Int_Tables_number 122
_symmetry_space_group_name_Hall 'I -4 2bw'
loop_
_atom_site_label
_atom_site_type_symbol
_atom_site_fract_x
_atom_site_fract_y
_atom_site_fract_z
_atom_site_occupancy
Co1 Co 0.0000 0.0000 0.0000 1
Re1 Re 0.2046 0.2500 0.1250 1
Sn1 Sn 0.0000 0.0000 0.5000 1